Record 1
First-principles (PBE) data for a relaxed structure of BaScFe2, as listed in Alexandria.

Computed properties:
DFT formation energy in meV/atom: 379
Magnetization in μB/cell: 0.3
Density of states at the Fermi level in states/eV/f.u.: 4.4
SG: No. 38

Structure (POSCAR):
```
BaScFe2
1.0
3.791 0.000 0.000
0.000 2.121 5.983
0.000 -2.121 5.983
Ba Sc Fe
1 1 2
Direct
0.000 0.000 0.000
0.500 0.735 0.735
0.000 0.278 0.278
0.500 0.355 0.355
```

Record 2
First-principles (PBE) data for a relaxed structure of SrNbNiN3, as listed in Alexandria.

Computed properties:
Magnetization in μB/cell: 1.6
Density of states at the Fermi level in states/eV/f.u.: 2.9
SG: No. 11
VASP energy in eV per atom: -7.622

Structure (POSCAR):
```
SrNbNiN3
1.0
6.926 0.000 0.000
0.000 3.261 0.000
-2.291 0.000 7.257
Sr Nb Ni N
2 2 2 6
Direct
0.212 0.250 0.236
0.788 0.750 0.764
0.321 0.750 0.864
0.679 0.250 0.136
0.100 0.250 0.596
0.900 0.750 0.404
0.133 0.250 0.867
0.201 0.750 0.530
0.453 0.750 0.141
0.547 0.250 0.859
0.799 0.250 0.470
0.867 0.750 0.133
```

Record 3
First-principles (PBE) data for a relaxed structure of AcPm6Ho3, as listed in Alexandria.

Computed properties:
DFT formation energy in meV/atom: 120
Magnetization in μB/cell: 0.0
Density of states at the Fermi level in states/eV/f.u.: 16.5
SG: No. 11

Structure (POSCAR):
```
AcPm6Ho3
1.0
13.603 0.000 0.000
0.000 3.564 0.000
-5.119 0.000 14.385
Ac Pm Ho
2 12 6
Direct
0.062 0.250 0.189
0.938 0.750 0.811
0.038 0.750 0.409
0.154 0.250 0.991
0.179 0.750 0.781
0.310 0.750 0.197
0.450 0.750 0.793
0.486 0.250 0.597
0.514 0.750 0.403
0.550 0.250 0.207
0.690 0.250 0.803
0.821 0.250 0.219
0.846 0.750 0.009
0.962 0.250 0.591
0.233 0.250 0.602
0.282 0.250 0.392
0.388 0.750 0.002
0.612 0.250 0.998
0.718 0.750 0.608
0.767 0.750 0.398
```

Record 4
First-principles (PBE) data for a relaxed structure of La12PrIn6, as listed in Alexandria.

Computed properties:
DFT formation energy in meV/atom: -267
Magnetization in μB/cell: 0.0
Density of states at the Fermi level in states/eV/f.u.: 22.0
SG: No. 148

Structure (POSCAR):
```
La12PrIn6
1.0
5.999 3.464 4.930
-5.999 3.464 4.930
0.000 -6.927 4.930
La Pr In
12 1 6
Direct
0.028 0.935 0.317
0.065 0.683 0.972
0.110 0.446 0.348
0.317 0.028 0.935
0.348 0.110 0.446
0.446 0.348 0.110
0.554 0.652 0.890
0.652 0.890 0.554
0.683 0.972 0.065
0.890 0.554 0.652
0.935 0.317 0.028
0.972 0.065 0.683
0.500 0.500 0.500
0.232 0.379 0.756
0.244 0.768 0.621
0.379 0.756 0.232
0.621 0.244 0.768
0.756 0.232 0.379
0.768 0.621 0.244
```

Please write out number 4 again, unchanged.
First-principles (PBE) data for a relaxed structure of La12PrIn6, as listed in Alexandria.

Computed properties:
DFT formation energy in meV/atom: -267
Magnetization in μB/cell: 0.0
Density of states at the Fermi level in states/eV/f.u.: 22.0
SG: No. 148

Structure (POSCAR):
```
La12PrIn6
1.0
5.999 3.464 4.930
-5.999 3.464 4.930
0.000 -6.927 4.930
La Pr In
12 1 6
Direct
0.028 0.935 0.317
0.065 0.683 0.972
0.110 0.446 0.348
0.317 0.028 0.935
0.348 0.110 0.446
0.446 0.348 0.110
0.554 0.652 0.890
0.652 0.890 0.554
0.683 0.972 0.065
0.890 0.554 0.652
0.935 0.317 0.028
0.972 0.065 0.683
0.500 0.500 0.500
0.232 0.379 0.756
0.244 0.768 0.621
0.379 0.756 0.232
0.621 0.244 0.768
0.756 0.232 0.379
0.768 0.621 0.244
```

Among the records above, which one has the highest density of states at the Fermi level? La12PrIn6